Entry 1:
Material: ScTa2BTe
Method: DFT, PBE-GGA
State: relaxed

Computed properties:
The value obtained for the magnetic moment is 0.0 μB/cell. The calculation puts the uncorrected formation energy at 285.4 meV/atom. The calculated volume comes out at 19.2 A^3/atom. The crystal system is tetragonal.

Cell and atoms, written as extended XYZ:
```
5
Lattice="-0.5061 -3.1000 2.9753 -3.2270 -2.4619 -3.1140 3.3188 -2.1849 -1.7119" Properties=species:S:1:pos:R:3 pbc="T T T"
Ta -0.2531 -1.5500 1.4877
Te -1.6135 -1.2310 -1.5570
Ta 1.6594 -1.0924 -0.8560
B 0.0000 0.0000 0.0000
Sc -0.2071 -3.8734 -0.9253
```


Entry 2:
Material: PmNd6Tm2Mg
Method: DFT, PBE-GGA
State: relaxed

Computed properties:
The value obtained for the magnetic moment is 0.0 μB/cell. The calculated volume comes out at 33.3 A^3/atom. The crystal system is monoclinic. The formation enthalpy at 0 K is 2.458 kcal/mol of atoms.

Cell and atoms, written as extended XYZ:
```
20
Lattice="8.9179 -2.2745 -2.3604 0.8561 8.5098 -1.1030 0.8561 -1.4177 8.4630" Properties=species:S:1:pos:R:3 pbc="T T T"
Nd 5.8257 4.8938 -1.5114
Nd 4.3619 3.4003 1.1920
Nd 1.3667 -0.5544 6.0146
Tm 5.6970 -0.0375 0.6572
Nd 4.8045 -0.0762 6.5110
Nd 6.2683 1.4173 3.8076
Nd 3.3596 -1.1154 3.0977
Pm 3.0856 7.3075 -1.0826
Tm 4.9331 4.8551 4.3424
Nd 7.8185 1.9997 -2.1801
Tm 1.2381 1.7954 1.1671
Pm 7.5446 -2.4899 6.0822
Mg 7.5446 2.8077 0.9774
Nd 8.8209 -0.0721 2.2619
Nd 9.2635 5.3721 -1.0150
Nd 2.8117 2.8179 7.1797
Nd 1.8093 4.8897 2.7377
Nd 7.2706 5.9331 1.9019
Tm 9.3921 3.0223 3.8325
Mg 3.0856 2.0100 4.0221
```


Entry 3:
Material: Zr2Sc2Ir
Method: DFT, PBE-GGA
State: relaxed

Computed properties:
The value obtained for the magnetic moment is 0.0 μB/cell. The calculated volume comes out at 22.7 A^3/atom. The crystal system is tetragonal. The formation enthalpy at 0 K is -4.282 kcal/mol of atoms.

Cell and atoms, written as extended XYZ:
```
10
Lattice="6.7748 0.0000 0.0000 0.0000 6.7748 0.0000 0.0000 0.0000 4.9369" Properties=species:S:1:pos:R:3 pbc="T T T"
Sc 5.6662 2.2788 2.4684
Zr 1.0128 2.3746 0.0000
Ir 3.3874 3.3874 0.0000
Sc 4.4960 5.6662 2.4684
Sc 1.1086 4.4960 2.4684
Ir 0.0000 0.0000 0.0000
Zr 5.7621 4.4002 0.0000
Zr 2.3746 5.7621 0.0000
Zr 4.4002 1.0128 0.0000
Sc 2.2788 1.1086 2.4684
```


Among the records above, which one has the highest calculated volume?
PmNd6Tm2Mg


Look up the magnetic moment of the second one.
0.0 μB/cell